No. 1
Below is a relaxed structure of Pu2Tl2C, with properties calculated at the PBE level.

Cell lengths 3.474, 3.474, 33.868 Å; angles 90.00, 90.00, 120.00 degrees
Fractional coordinates of all 15 atoms:
Pu (0.000, 0.000, 0.125)
Pu (0.000, 0.000, 0.875)
Pu (0.333, 0.667, 0.542)
Pu (0.333, 0.667, 0.791)
Pu (0.667, 0.333, 0.209)
Pu (0.667, 0.333, 0.458)
Tl (0.000, 0.000, 0.373)
Tl (0.000, 0.000, 0.627)
Tl (0.333, 0.667, 0.040)
Tl (0.333, 0.667, 0.293)
Tl (0.667, 0.333, 0.707)
Tl (0.667, 0.333, 0.960)
C (0.000, 0.000, 0.500)
C (0.333, 0.667, 0.167)
C (0.667, 0.333, 0.833)

calculated density	12.79	Mg/m³
DOS at the Fermi energy	46.476	states/eV/cell
formation enthalpy at 0 K	-0.20	eV per formula unit

***

No. 2
Below is a relaxed structure of Pu2TlC, with properties calculated at the PBE level.

Cell lengths 3.391, 3.391, 26.412 Å; angles 90.00, 90.00, 120.00 degrees
Fractional coordinates of all 12 atoms:
Pu (0.000, 0.000, 0.000)
Pu (0.000, 0.000, 0.224)
Pu (0.333, 0.667, 0.667)
Pu (0.333, 0.667, 0.890)
Pu (0.667, 0.333, 0.333)
Pu (0.667, 0.333, 0.557)
Tl (0.000, 0.000, 0.446)
Tl (0.333, 0.667, 0.113)
Tl (0.667, 0.333, 0.780)
C (0.000, 0.000, 0.612)
C (0.333, 0.667, 0.278)
C (0.667, 0.333, 0.945)

calculated density	13.34	Mg/m³
DOS at the Fermi energy	42.714	states/eV/cell
formation enthalpy at 0 K	-0.09	eV per formula unit

***

No. 3
Below is a relaxed structure of Pu2TlC, with properties calculated at the PBE level.

Cell lengths 3.447, 3.447, 8.761 Å; angles 90.00, 90.00, 120.00 degrees
Fractional coordinates of all 4 atoms:
Pu (0.000, 0.000, 0.166)
Pu (0.000, 0.000, 0.834)
Tl (0.333, 0.667, 0.500)
C (0.667, 0.333, 0.000)

calculated density	12.97	Mg/m³
DOS at the Fermi energy	11.289	states/eV/cell
formation enthalpy at 0 K	0.30	eV per formula unit

***

No. 4
Below is a relaxed structure of PuTlC, with properties calculated at the PBE level.

Cell lengths 6.639, 3.617, 11.655 Å; angles 90.00, 106.32, 90.00 degrees
Fractional coordinates of all 12 atoms:
Pu (0.193, 0.000, 0.355)
Pu (0.307, 0.500, 0.645)
Pu (0.693, 0.500, 0.355)
Pu (0.807, 0.000, 0.645)
Tl (0.102, 0.500, 0.888)
Tl (0.398, 0.000, 0.112)
Tl (0.602, 0.000, 0.888)
Tl (0.898, 0.500, 0.112)
C (0.092, 0.000, 0.545)
C (0.408, 0.500, 0.455)
C (0.592, 0.500, 0.545)
C (0.908, 0.000, 0.455)

calculated density	11.39	Mg/m³
DOS at the Fermi energy	27.998	states/eV/cell
formation enthalpy at 0 K	0.19	eV per formula unit